[1]
## TmP2Rh (PBE)

Data for a geometry-optimized TmP2Rh structure.

Properties
- M_tot (μB per formula unit) = 0.0
- final energy (hartree per atom) = -0.2448
- formation enthalpy at 0 K (meV/atom) = -1001

a = 3.8358 Å, b = 3.8358 Å, c = 16.0563 Å
α = 90.00°, β = 90.00°, γ = 120.00°
Space group R-3m (No. 166, hexagonal axes)
Symmetry-distinct sites (fractional):
Tm (0.0000, 0.0000, 0.0000) x3
P (0.0000, 0.0000, 0.2318) x6
Rh (0.0000, 0.0000, 0.5000) x3

[2]
## TmPRh (PBE)

Data for a geometry-optimized TmPRh structure.

Properties
- M_tot (μB per formula unit) = 0.0
- final energy (hartree per atom) = -0.2536
- formation enthalpy at 0 K (meV/atom) = -1157

a = 6.616 Å, b = 5.224 Å, c = 7.316 Å
α = 90.00°, β = 115.87°, γ = 90.00°
Space group P2_1/c (No. 14)
Symmetry-distinct sites (fractional):
Tm (0.220, 0.121, 0.415) x4
P (0.244, 0.627, 0.272) x4
Rh (0.413, 0.596, 0.633) x4

[3]
## Tm2P7Rh12 (PBE)

Data for a geometry-optimized Tm2P7Rh12 structure.

Properties
- M_tot (μB per formula unit) = 0.0
- final energy (hartree per atom) = -0.2703
- formation enthalpy at 0 K (meV/atom) = -926

a = 9.5905 Å, b = 9.5905 Å, c = 3.8502 Å
α = 90.00°, β = 90.00°, γ = 120.00°
Space group P-3 (No. 147)
Symmetry-distinct sites (fractional):
Tm (0.3333, 0.6667, 0.2487) x2
P (0.0000, 0.0000, 0.0000) x1
P (0.1201, 0.4062, 0.7454) x6
Rh (0.0695, 0.6181, 0.7493) x6
Rh (0.1109, 0.8488, 0.2493) x6

[4]
## TmP2Rh5 (PBE)

Data for a geometry-optimized TmP2Rh5 structure.

Properties
- M_tot (μB per formula unit) = 0.0
- final energy (hartree per atom) = -0.2696
- formation enthalpy at 0 K (meV/atom) = -829

a = 3.862 Å, b = 6.744 Å, c = 9.447 Å
α = 90.00°, β = 90.00°, γ = 90.00°
Space group Immm (No. 71)
Symmetry-distinct sites (fractional):
Tm (0.000, 0.000, 0.000) x2
P (0.000, 0.500, 0.243) x4
Rh (0.000, 0.205, 0.352) x8
Rh (0.000, 0.500, 0.000) x2

[5]
## TmUP2Rh5 (PBE)

Data for a geometry-optimized TmUP2Rh5 structure.

Properties
- M_tot (μB per formula unit) = 0.0
- final energy (hartree per atom) = -0.2781
- formation enthalpy at 0 K (meV/atom) = -531

a = 3.952 Å, b = 3.952 Å, c = 10.858 Å
α = 90.00°, β = 90.00°, γ = 90.00°
Space group P4/mmm (No. 123)
Symmetry-distinct sites (fractional):
Tm (0.000, 0.000, 0.000) x1
U (0.500, 0.500, 0.500) x1
P (0.500, 0.500, 0.207) x2
Rh (0.000, 0.500, 0.326) x4
Rh (0.500, 0.500, 0.000) x1

[6]
## U4P6Rh5 (PBE)

Data for a geometry-optimized U4P6Rh5 structure.

Properties
- M_tot (μB per formula unit) = 7.0
- final energy (hartree per atom) = -0.3115
- formation enthalpy at 0 K (meV/atom) = -851

a = 3.904 Å, b = 18.463 Å, c = 14.404 Å
α = 90.00°, β = 90.00°, γ = 90.00°
Space group Cmc2_1 (No. 36)
Symmetry-distinct sites (fractional):
U (0.000, 0.008, 0.000) x4
U (0.000, 0.027, 0.278) x4
U (0.000, 0.169, 0.808) x4
U (0.000, 0.184, 0.446) x4
P (0.000, 0.120, 0.621) x4
P (0.000, 0.218, 0.995) x4
P (0.000, 0.230, 0.261) x4
P (0.000, 0.416, 0.913) x4
P (0.000, 0.425, 0.634) x4
P (0.000, 0.430, 0.357) x4
Rh (0.000, 0.147, 0.132) x4
Rh (0.000, 0.301, 0.124) x4
Rh (0.000, 0.348, 0.774) x4
Rh (0.000, 0.359, 0.491) x4
Rh (0.000, 0.451, 0.176) x4

[7]
## UP2Rh3 (PBE)

Data for a geometry-optimized UP2Rh3 structure.

Properties
- M_tot (μB per formula unit) = 1.6
- final energy (hartree per atom) = -0.3011
- formation enthalpy at 0 K (meV/atom) = -834

a = 15.935 Å, b = 3.858 Å, c = 9.673 Å
α = 90.00°, β = 108.97°, γ = 90.00°
Space group C2/m (No. 12)
Symmetry-distinct sites (fractional):
U (0.000, 0.000, 0.000) x2
U (0.158, 0.000, 0.696) x4
P (0.047, 0.500, 0.778) x4
P (0.135, 0.500, 0.448) x4
P (0.196, 0.000, 0.126) x4
Rh (0.000, 0.500, 0.500) x2
Rh (0.040, 0.000, 0.329) x4
Rh (0.113, 0.500, 0.194) x4
Rh (0.181, 0.500, 0.967) x4
Rh (0.226, 0.000, 0.388) x4

[8]
## U5P12Rh3 (PBE)

Data for a geometry-optimized U5P12Rh3 structure.

Properties
- M_tot (μB per formula unit) = 8.2
- final energy (hartree per atom) = -0.2666
- formation enthalpy at 0 K (meV/atom) = -83

a = 15.246 Å, b = 15.246 Å, c = 15.246 Å
α = 90.00°, β = 90.00°, γ = 90.00°
Space group Ia-3d (No. 230)
Symmetry-distinct sites (fractional):
U (0.000, 0.000, 0.000) x16
U (0.000, 0.250, 0.375) x24
P (0.042, 0.104, 0.640) x96
Rh (0.000, 0.250, 0.125) x24

[9]
## U2P3Rh5 (PBE)

Data for a geometry-optimized U2P3Rh5 structure.

Properties
- M_tot (μB per formula unit) = 2.5
- final energy (hartree per atom) = -0.3046
- formation enthalpy at 0 K (meV/atom) = -732

a = 4.085 Å, b = 24.237 Å, c = 6.393 Å
α = 90.00°, β = 90.00°, γ = 90.00°
Space group Cmc2_1 (No. 36)
Symmetry-distinct sites (fractional):
U (0.000, 0.016, 0.000) x4
U (0.000, 0.326, 0.952) x4
P (0.000, 0.108, 0.224) x4
P (0.000, 0.279, 0.393) x4
P (0.000, 0.451, 0.225) x4
Rh (0.000, 0.104, 0.627) x4
Rh (0.000, 0.200, 0.117) x4
Rh (0.000, 0.225, 0.697) x4
Rh (0.000, 0.375, 0.460) x4
Rh (0.000, 0.442, 0.835) x4

[10]
## U4PRh12 (PBE)

Data for a geometry-optimized U4PRh12 structure.

Properties
- M_tot (μB per formula unit) = 1.9
- final energy (hartree per atom) = -0.3238
- formation enthalpy at 0 K (meV/atom) = -646

a = 8.219 Å, b = 8.219 Å, c = 8.219 Å
α = 90.00°, β = 90.00°, γ = 90.00°
Space group Im-3m (No. 229)
Symmetry-distinct sites (fractional):
U (0.250, 0.250, 0.250) x8
P (0.000, 0.000, 0.000) x2
Rh (0.000, 0.000, 0.273) x12
Rh (0.000, 0.250, 0.500) x12

[11]
## U2P2Rh (PBE)

Data for a geometry-optimized U2P2Rh structure.

Properties
- M_tot (μB per formula unit) = 0.0
- final energy (hartree per atom) = -0.3294
- formation enthalpy at 0 K (meV/atom) = -815

a = 3.912 Å, b = 14.236 Å, c = 6.795 Å
α = 90.00°, β = 90.00°, γ = 90.00°
Space group Cmc2_1 (No. 36)
Symmetry-distinct sites (fractional):
U (0.000, 0.066, 0.000) x4
U (0.000, 0.184, 0.270) x4
P (0.000, 0.186, 0.682) x4
P (0.000, 0.456, 0.789) x4
Rh (0.000, 0.401, 0.114) x4

[12]
## U3P4Rh2 (PBE)

Data for a geometry-optimized U3P4Rh2 structure.

Properties
- M_tot (μB per formula unit) = 1.5
- final energy (hartree per atom) = -0.3196
- formation enthalpy at 0 K (meV/atom) = -897

a = 12.270 Å, b = 3.832 Å, c = 8.434 Å
α = 90.00°, β = 126.14°, γ = 90.00°
Space group C2/m (No. 12)
Symmetry-distinct sites (fractional):
U (0.000, 0.000, 0.000) x2
U (0.109, 0.500, 0.675) x4
P (0.081, 0.000, 0.389) x4
P (0.192, 0.500, 0.085) x4
Rh (0.179, 0.500, 0.353) x4

[13]
## UPRh2 (PBE)

Data for a geometry-optimized UPRh2 structure.

Properties
- M_tot (μB per formula unit) = 1.6
- final energy (hartree per atom) = -0.3155
- formation enthalpy at 0 K (meV/atom) = -734

a = 3.958 Å, b = 9.838 Å, c = 6.767 Å
α = 90.00°, β = 90.00°, γ = 90.00°
Space group Cmcm (No. 63)
Symmetry-distinct sites (fractional):
U (0.000, 0.059, 0.250) x4
P (0.000, 0.219, 0.750) x4
Rh (0.000, 0.358, 0.044) x8

[14]
## U6P13Rh20 (PBE)

Data for a geometry-optimized U6P13Rh20 structure.

Properties
- M_tot (μB per formula unit) = 12.3
- final energy (hartree per atom) = -0.2995
- formation enthalpy at 0 K (meV/atom) = -841

a = 13.3811 Å, b = 13.3811 Å, c = 3.8803 Å
α = 90.00°, β = 90.00°, γ = 120.00°
Space group P-3 (No. 147)
Symmetry-distinct sites (fractional):
U (0.1903, 0.4721, 0.2493) x6
P (0.0000, 0.0000, 0.0000) x1
P (0.0571, 0.2864, 0.7464) x6
P (0.1380, 0.6112, 0.7490) x6
Rh (0.0206, 0.5823, 0.2490) x6
Rh (0.0773, 0.7479, 0.7478) x6
Rh (0.0904, 0.9044, 0.2517) x6
Rh (0.3333, 0.6667, 0.7480) x2

[15]
## YUP2Rh5 (PBE)

Data for a geometry-optimized YUP2Rh5 structure.

Properties
- M_tot (μB per formula unit) = 0.0
- final energy (hartree per atom) = -0.2865
- formation enthalpy at 0 K (meV/atom) = -537

a = 3.977 Å, b = 3.977 Å, c = 10.805 Å
α = 90.00°, β = 90.00°, γ = 90.00°
Space group P4/mmm (No. 123)
Symmetry-distinct sites (fractional):
Y (0.000, 0.000, 0.000) x1
U (0.500, 0.500, 0.500) x1
P (0.500, 0.500, 0.208) x2
Rh (0.000, 0.500, 0.326) x4
Rh (0.500, 0.500, 0.000) x1

[16]
## V3PRh (PBE)

Data for a geometry-optimized V3PRh structure.

Properties
- M_tot (μB per formula unit) = 4.5
- ΔE to the lowest computed polymorph (eV per atom) = 0.812
- final energy (hartree per atom) = -0.2557
- formation enthalpy at 0 K (meV/atom) = 1065

a = 4.589 Å, b = 4.589 Å, c = 4.589 Å
α = 90.00°, β = 90.00°, γ = 90.00°
Space group Pm-3m (No. 221)
Symmetry-distinct sites (fractional):
V (0.000, 0.000, 0.500) x3
P (0.500, 0.500, 0.500) x1
Rh (0.000, 0.000, 0.000) x1